The following is a DFT calculation (PBE) of BaBeCr2 after structural relaxation.

Unit cell a=3.168 b=3.168 c=8.011 alpha=90.00 beta=90.00 gamma=90.03
Site moments in Bohr magnetons follow the coordinates.
Fractional positions:
Be 0.500 0.500 0.750  -0.08
Cr 0.000 0.000 0.585  3.40
Cr 0.000 0.000 0.915  3.40
Ba 0.500 0.500 0.250  -0.04

## Properties
total moment = 7.44 μB per formula unit
E_form = 933 meV/atom
raw total energy = -21.16 eV for the cell shown
Fermi-level density of states = 3.7 states/eV/f.u.